Here is LiGdFeSe3 after structural relaxation from OQMD. Energies are from PBE-GGA.

Lattice parameters (Å, degrees): 13.338 3.941 11.144 90.00 90.00 90.00
Each line ends with the local moment (μB).
Fractional positions:
Fe1 0.991 0.750 0.578  3.09
Fe2 0.491 0.750 0.922  3.09
Fe3 0.509 0.250 0.078  3.09
Fe4 0.009 0.250 0.422  3.09
Se1 0.879 0.250 0.064  0.03
Se2 0.121 0.750 0.936  0.03
Se3 0.103 0.250 0.612  0.14
Se4 0.379 0.250 0.436  0.03
Se5 0.621 0.750 0.564  0.03
Se6 0.141 0.250 0.270  0.09
Se7 0.859 0.750 0.730  0.09
Se8 0.397 0.750 0.112  0.14
Se9 0.641 0.250 0.230  0.09
Se10 0.897 0.750 0.388  0.14
Se11 0.359 0.750 0.770  0.09
Se12 0.603 0.250 0.888  0.14
Gd1 0.014 0.750 0.161  0.05
Gd2 0.986 0.250 0.839  0.05
Gd3 0.486 0.250 0.661  0.05
Gd4 0.514 0.750 0.339  0.05
Li1 0.259 0.250 0.889  0.00
Li2 0.741 0.750 0.111  0.00
Li3 0.241 0.750 0.389  0.00
Li4 0.759 0.250 0.611  0.00

## Properties
Its total energy is -5.345 eV per atom. For the volume, the calculation gives 24.411 A^3/atom.